Record 1
Ti3MnB: optimized geometry, PBE-GGA.

Values from the calculation:
E above lowest polymorph ... 0.000 eV per atom
Calculated formation energy ... 0.17 eV per atom
Calculated volume ... 14.82 A^3/atom
Magnetization ... 0.00 μB/cell

Cell lengths 4.2001, 4.2001, 4.2001 Å; angles 90.00, 90.00, 90.00 degrees
Space group Pm-3m (No. 221)
Symmetry-distinct sites (fractional):
Ti 0.0000 0.0000 0.5000 (multiplicity 3)
Mn 0.5000 0.5000 0.5000 (multiplicity 1)
B 0.0000 0.0000 0.0000 (multiplicity 1)

Record 2
TiMnB2: optimized geometry, PBE-GGA.

Values from the calculation:
E above lowest polymorph ... 0.747 eV per atom
Calculated formation energy ... 0.06 eV per atom
Calculated volume ... 10.98 A^3/atom
Magnetization ... 1.36 μB/cell

Cell lengths 3.4893, 3.4893, 14.4280 Å; angles 90.00, 90.00, 90.00 degrees
Space group I4_1/amd (No. 141, origin choice 2)
Symmetry-distinct sites (fractional):
Ti 0.0000 0.2500 0.3750 (multiplicity 4)
Mn 0.0000 0.2500 0.8750 (multiplicity 4)
B 0.0000 0.0000 0.0000 (multiplicity 8)

Question: Which value of calculated volume does entry 2 give?
Answer: 10.98 A^3/atom

Question: Which of these has the highest magnetization?
Answer: TiMnB2